Entry 1:
Li2Mn3SnO8 after structural relaxation. Source: Alexandria, functional PBEsol.

Summary:
crystal system	trigonal
magnetic moment	7.739	Bohr magnetons per cell
energy relative to the elements, uncorrected	-1.710	eV per atom

a = 5.9467 Å, b = 5.9467 Å, c = 5.9467 Å
α = 57.97°, β = 57.97°, γ = 57.97°
Last column: nearest neighbours and their distance in Å.
Sites, in units of the cell vectors:
O: 0.2563 0.2563 0.7016  2 Mn 1.95, 1 Sn 1.99, 1 Li 2.06
O: 0.7489 0.7489 0.2891  2 Mn 1.86, 2 Li 1.93-2.07
O: 0.2637 0.2637 0.2637  3 Mn 1.99, 1 Sn 2.09
O: 0.2891 0.7489 0.7489  2 Mn 1.86, 2 Li 1.93-2.07
O: 0.7016 0.2563 0.2563  2 Mn 1.95, 1 Sn 1.99, 1 Li 2.06
O: 0.2563 0.7016 0.2563  2 Mn 1.95, 1 Sn 1.99, 1 Li 2.06
O: 0.7374 0.7374 0.7374  3 Mn 1.93, 1 Li 2.13
O: 0.7489 0.2891 0.7489  2 Mn 1.86, 2 Li 1.93-2.07
Mn: 0.5040 0.9844 0.5040  6 O 1.86-1.99
Mn: 0.5040 0.5040 0.9844  6 O 1.86-1.99
Mn: 0.9844 0.5040 0.5040  6 O 1.86-1.99
Li: 0.5018 0.5018 0.5018  6 O 2.06-2.07
Li: 0.8817 0.8817 0.8817  4 O 1.93-2.13
Sn: 0.1220 0.1220 0.1220  4 O 1.99-2.09

=====

Entry 2:
Li4Mn3Sn5O16 after structural relaxation. Source: Alexandria, functional PBEsol.

Summary:
crystal system	monoclinic
magnetic moment	12.973	Bohr magnetons per cell
energy relative to the elements, uncorrected	-1.724	eV per atom

a = 6.0508 Å, b = 6.1427 Å, c = 9.8288 Å
α = 91.35°, β = 90.00°, γ = 119.51°
Last column: nearest neighbours and their distance in Å.
Sites, in units of the cell vectors:
O: 0.8332 0.1583 0.9049  1 Li 1.97, 2 Sn 2.08-2.09, 1 Mn 2.13
O: 0.5219 0.0439 0.1647  2 Mn 2.01, 1 Li 2.04, 1 Sn 2.14
O: 0.1559 0.3118 0.3988  1 Li 1.95, 2 Mn 2.04, 1 Sn 2.06
O: 0.3326 0.6652 0.8977  1 Mn 2.04, 1 Li 2.04, 2 Sn 2.06
O: 0.1560 0.8247 0.4067  1 Li 1.99, 2 Sn 2.07-2.09, 1 Mn 2.19
O: 0.9733 0.4938 0.1509  1 Li 1.97, 2 Sn 2.08-2.09
O: 0.4873 0.5188 0.6547  1 Li 2.00, 2 Sn 2.07-2.14, 1 Mn 2.14
O: 0.0048 0.0095 0.1990  1 Li 1.81, 2 Mn 1.96
O: 0.6687 0.8247 0.4067  1 Li 1.99, 2 Sn 2.07-2.09, 1 Mn 2.19
O: 0.8395 0.6790 0.9039  3 Sn 2.09-2.19, 1 Li 2.17
O: 0.0315 0.5188 0.6547  1 Li 2.00, 2 Sn 2.07-2.14, 1 Mn 2.14
O: 0.0019 0.0037 0.6883  1 Li 1.82, 1 Mn 2.00
O: 0.5205 0.4938 0.1509  1 Li 1.97, 2 Sn 2.08-2.09
O: 0.6616 0.3231 0.3897  2 Mn 1.96, 1 Li 2.02, 1 Sn 2.10
O: 0.3251 0.1583 0.9049  1 Li 1.97, 2 Sn 2.08-2.09, 1 Mn 2.13
O: 0.4829 0.9659 0.6571  1 Li 2.07, 3 Sn 2.10-2.22
Sn: 0.6608 0.8281 0.7855  6 O 2.05-2.10
Sn: 0.1673 0.8281 0.7855  6 O 2.05-2.10
Sn: 0.6642 0.3284 0.0150  6 O 2.08-2.19
Sn: 0.3248 0.6497 0.5055  6 O 2.06-2.22
Sn: 0.8294 0.6588 0.2841  6 O 2.07-2.10
Li: 0.0032 0.0063 0.5036  4 O 1.82-1.99
Li: 0.3374 0.6747 0.1056  4 O 1.97-2.04
Li: 0.6667 0.3333 0.5955  4 O 2.00-2.07
Li: 0.0171 0.0342 0.0158  3 O 1.81-1.97
Mn: 0.3392 0.1658 0.2882  5 O 1.96-2.19
Mn: 0.8266 0.1658 0.2882  5 O 1.96-2.19
Mn: 0.1688 0.3375 0.7861  6 O 2.00-2.14

=====

Entry 3:
Li2MnSnO4 after structural relaxation. Source: Alexandria, functional PBEsol.

Summary:
crystal system	orthorhombic
magnetic moment	9.926	Bohr magnetons per cell
energy relative to the elements, uncorrected	-1.680	eV per atom

a = 6.1762 Å, b = 6.1762 Å, c = 6.1072 Å
α = 60.39°, β = 60.39°, γ = 90.78°
Last column: nearest neighbours and their distance in Å.
Sites, in units of the cell vectors:
Sn: 0.0000 0.5000 0.5000  6 O 2.06-2.12
Sn: 0.5000 0.0000 0.0000  6 O 2.06-2.12
O: 0.2714 0.2389 0.9949  1 Sn 2.06, 2 Mn 2.15, 2 Li 2.20
O: 0.2389 0.2714 0.4949  1 Sn 2.06, 2 Mn 2.15, 2 Li 2.20
O: 0.7525 0.2479 0.9891  2 Sn 2.12, 3 Li 2.18-2.22, 1 Mn 2.22
O: 0.2479 0.7525 0.4891  2 Sn 2.12, 3 Li 2.18-2.22, 1 Mn 2.22
O: 0.7521 0.2475 0.5109  2 Sn 2.12, 3 Li 2.18-2.22, 1 Mn 2.22
O: 0.7611 0.7286 0.5051  1 Sn 2.06, 2 Mn 2.15, 2 Li 2.20
O: 0.2475 0.7521 0.0109  2 Sn 2.12, 3 Li 2.18-2.22, 1 Mn 2.22
O: 0.7286 0.7611 0.0051  1 Sn 2.06, 2 Mn 2.15, 2 Li 2.20
Li: 0.0000 0.0000 0.5000  6 O 2.18-2.20
Li: 0.0000 0.5000 0.0000  6 O 2.21-2.34
Li: 0.5000 0.0000 0.5000  6 O 2.21-2.34
Li: 0.0000 0.0000 0.0000  6 O 2.18-2.20
Mn: 0.5000 0.5000 0.0000  6 O 2.15-2.22
Mn: 0.5000 0.5000 0.5000  6 O 2.15-2.22

=====

Entry 4:
Li3Mn2SnO6 after structural relaxation. Source: Alexandria, functional PBEsol.

Summary:
crystal system	monoclinic
magnetic moment	9.001	Bohr magnetons per cell
energy relative to the elements, uncorrected	-1.704	eV per atom

a = 3.0112 Å, b = 5.9688 Å, c = 6.8774 Å
α = 101.22°, β = 102.65°, γ = 90.00°
Last column: nearest neighbours and their distance in Å.
Sites, in units of the cell vectors:
O: 0.8343 0.9327 0.6687  3 Mn 2.01-2.17, 3 Li 2.14-2.18
O: 0.4928 0.7360 0.9857  2 Sn 2.08, 3 Li 2.15-2.17
O: 0.8414 0.3984 0.6827  2 Mn 2.08, 1 Sn 2.09, 3 Li 2.25-2.27
O: 0.1657 0.0673 0.3313  3 Mn 2.01-2.17, 3 Li 2.14-2.18
O: 0.5072 0.2640 0.0143  2 Sn 2.08, 3 Li 2.15-2.17
O: 0.1586 0.6016 0.3173  2 Mn 2.08, 1 Sn 2.09, 3 Li 2.25-2.27
Mn: 0.3303 0.1534 0.6606  5 O 2.01-2.17
Mn: 0.6697 0.8466 0.3394  5 O 2.01-2.17
Sn: 0.0000 0.5000 0.0000  6 O 2.08-2.09
Li: 0.3296 0.6769 0.6592  6 O 2.14-2.27
Li: 0.0000 0.0000 0.0000  6 O 2.17-2.18
Li: 0.6704 0.3231 0.3408  6 O 2.14-2.27